## i
The following is a meta-GGA SCAN calculation of a crystal of Sb2C relaxed with PBEsol, from Alexandria via LeMat-Bulk.

Lattice parameters (Å, degrees): 3.2631 3.2631 12.9472 90.00 90.00 120.00
Space group P6_3/mmc (No. 194)
Unique sites:
Sb  0.3333  0.6667  0.1148 x4
C  0.0000  0.0000  0.0000 x2

=====

## ii
The following is a meta-GGA SCAN calculation of a crystal of Sb2C relaxed with PBEsol, from Alexandria via LeMat-Bulk.

Lattice parameters (Å, degrees): 3.3204 3.3204 18.2951 90.00 90.00 120.00
Space group R3m (No. 160, hexagonal axes)
Unique sites:
Sb  0.0000  0.0000  0.0000 x3
Sb  0.0000  0.0000  0.1729 x3
C  0.0000  0.0000  0.7302 x3

=====

## iii
The following is a meta-GGA SCAN calculation of a crystal of Sb2C relaxed with PBEsol, from Alexandria via LeMat-Bulk.

Lattice parameters (Å, degrees): 4.9177 4.9177 2.9632 90.00 90.00 120.00
Space group P6/mmm (No. 191)
Unique sites:
Sb  0.3333  0.6667  0.0000 x2
C  0.0000  0.0000  0.5000 x1

=====

## iv
The following is a meta-GGA SCAN calculation of a crystal of Sb2C relaxed with PBEsol, from Alexandria via LeMat-Bulk.

Lattice parameters (Å, degrees): 3.158 3.165 24.822 90.00 90.00 90.00
Space group Imma (No. 74)
Unique sites:
Sb  0.000  0.250  0.056 x4
Sb  0.000  0.250  0.179 x4
C  0.000  0.250  0.686 x4

=====

Which one sits at the top of the stability order? i does.

=====

## i
The following is a meta-GGA SCAN calculation of a crystal of SbC3 relaxed with PBEsol, from Alexandria via LeMat-Bulk.

Lattice parameters (Å, degrees): 2.683 2.683 6.049 90.00 90.00 90.00
Space group P-4m2 (No. 115)
Unique sites:
Sb  0.000  0.000  0.000 x1
C  0.000  0.500  0.632 x2
C  0.500  0.500  0.500 x1

=====

## ii
The following is a meta-GGA SCAN calculation of a crystal of SbC3 relaxed with PBEsol, from Alexandria via LeMat-Bulk.

Lattice parameters (Å, degrees): 3.761 3.761 3.021 90.00 90.00 90.00
Space group P4/mmm (No. 123)
Unique sites:
Sb  0.000  0.000  0.000 x1
C  0.000  0.500  0.500 x2
C  0.500  0.500  0.000 x1

=====

Which one sits at the top of the stability order? i does.

=====

## i
The following is a meta-GGA SCAN calculation of a crystal of Sc3C2 relaxed with PBEsol, from Alexandria via LeMat-Bulk.

Lattice parameters (Å, degrees): 3.3352 3.3352 8.3666 90.00 90.00 120.00
Space group P-3m1 (No. 164)
Unique sites:
Sc  0.0000  0.0000  0.0000 x1
Sc  0.3333  0.6667  0.2954 x2
C  0.3333  0.6667  0.8280 x2

=====

## ii
The following is a meta-GGA SCAN calculation of a crystal of Sc3C2 relaxed with PBEsol, from Alexandria via LeMat-Bulk.

Lattice parameters (Å, degrees): 3.3304 3.3304 25.5021 90.00 90.00 120.00
Space group R-3m (No. 166, hexagonal axes)
Unique sites:
Sc  0.0000  0.0000  0.0000 x3
Sc  0.0000  0.0000  0.2363 x6
C  0.0000  0.0000  0.3898 x6

=====

Which one sits at the top of the stability order? i does.

=====

## i
The following is a meta-GGA SCAN calculation of a crystal of Sc3C4 relaxed with PBEsol, from Alexandria via LeMat-Bulk.

Lattice parameters (Å, degrees): 4.581 4.581 4.581 90.00 90.00 90.00
Space group Pm-3m (No. 221)
Unique sites:
Sc  0.000  0.000  0.500 x3
C  0.000  0.000  0.000 x1
C  0.000  0.500  0.500 x3

=====

## ii
The following is a meta-GGA SCAN calculation of a crystal of Sc3C4 relaxed with PBEsol, from Alexandria via LeMat-Bulk.

Lattice parameters (Å, degrees): 7.429 7.429 14.926 90.00 90.00 90.00
Space group P4/mnc (No. 128)
Unique sites:
Sc  0.000  0.000  0.000 x2
Sc  0.000  0.000  0.312 x4
Sc  0.097  0.300  0.500 x8
Sc  0.100  0.712  0.144 x16
C  0.000  0.000  0.157 x4
C  0.000  0.000  0.457 x4
C  0.097  0.307  0.333 x16
C  0.106  0.697  0.000 x8
C  0.151  0.349  0.250 x8

=====

Which one sits at the top of the stability order? ii does.

=====

## i
The following is a meta-GGA SCAN calculation of a crystal of Sc3TlC relaxed with PBEsol, from Alexandria via LeMat-Bulk.

Lattice parameters (Å, degrees): 5.200 5.200 5.200 90.00 90.00 90.00
Space group Pm-3m (No. 221)
Unique sites:
Sc  0.000  0.000  0.500 x3
Tl  0.000  0.000  0.000 x1
C  0.500  0.500  0.500 x1

=====

## ii
The following is a meta-GGA SCAN calculation of a crystal of Sc3TlC relaxed with PBEsol, from Alexandria via LeMat-Bulk.

Lattice parameters (Å, degrees): 4.502 4.502 4.502 90.00 90.00 90.00
Space group Pm-3m (No. 221)
Unique sites:
Sc  0.000  0.000  0.500 x3
Tl  0.500  0.500  0.500 x1
C  0.000  0.000  0.000 x1

=====

Which one sits at the top of the stability order? ii does.

=====

## i
The following is a meta-GGA SCAN calculation of a crystal of CSe relaxed with PBEsol, from Alexandria via LeMat-Bulk.

Lattice parameters (Å, degrees): 5.056 5.056 5.056 90.00 90.00 90.00
Space group F-43m (No. 216)
Unique sites:
C  0.000  0.000  0.000 x4
Se  0.250  0.250  0.250 x4

=====

## ii
The following is a meta-GGA SCAN calculation of a crystal of CSe relaxed with PBEsol, from Alexandria via LeMat-Bulk.

Lattice parameters (Å, degrees): 4.461 4.473 5.019 90.00 90.00 90.00
Space group Pmmn (No. 59, origin choice 2)
Unique sites:
C  0.250  0.250  0.042 x2
Se  0.250  0.250  0.379 x2

=====

## iii
The following is a meta-GGA SCAN calculation of a crystal of CSe relaxed with PBEsol, from Alexandria via LeMat-Bulk.

Lattice parameters (Å, degrees): 2.928 2.928 14.206 90.00 90.00 90.00
Space group I4_1/amd (No. 141, origin choice 2)
Unique sites:
C  0.000  0.250  0.375 x4
Se  0.000  0.250  0.875 x4

=====

Which one sits at the top of the stability order? ii does.

=====

## i
The following is a meta-GGA SCAN calculation of a crystal of C2Se relaxed with PBEsol, from Alexandria via LeMat-Bulk.

Lattice parameters (Å, degrees): 7.871 2.518 9.812 90.00 107.04 90.00
Space group C2/m (No. 12)
Unique sites:
C  0.015  0.000  0.076 x4
C  0.029  0.500  0.147 x4
Se  0.070  0.500  0.346 x4

=====

## ii
The following is a meta-GGA SCAN calculation of a crystal of C2Se relaxed with PBEsol, from Alexandria via LeMat-Bulk.

Lattice parameters (Å, degrees): 6.336 6.336 6.336 90.00 90.00 90.00
Space group Fd-3m (No. 227, origin choice 2)
Unique sites:
C  0.000  0.000  0.000 x16
Se  0.125  0.125  0.625 x8

=====

Which one sits at the top of the stability order? i does.

=====

## i
The following is a meta-GGA SCAN calculation of a crystal of SnCSe2 relaxed with PBEsol, from Alexandria via LeMat-Bulk.

Lattice parameters (Å, degrees): 6.429 6.429 8.173 90.00 90.00 90.00
Space group I-42d (No. 122)
Unique sites:
Sn  0.000  0.000  0.000 x4
C  0.000  0.000  0.500 x4
Se  0.142  0.250  0.625 x8

=====

## ii
The following is a meta-GGA SCAN calculation of a crystal of SnCSe2 relaxed with PBEsol, from Alexandria via LeMat-Bulk.

Lattice parameters (Å, degrees): 3.2068 3.2068 25.4378 90.00 90.00 120.00
Space group R-3m (No. 166, hexagonal axes)
Unique sites:
Sn  0.0000  0.0000  0.0000 x3
C  0.0000  0.0000  0.5000 x3
Se  0.0000  0.0000  0.1138 x6

=====

## iii
The following is a meta-GGA SCAN calculation of a crystal of SnCSe2 relaxed with PBEsol, from Alexandria via LeMat-Bulk.

Lattice parameters (Å, degrees): 3.7188 3.7188 23.7500 90.00 90.00 120.00
Space group R-3m (No. 166, hexagonal axes)
Unique sites:
Sn  0.0000  0.0000  0.0000 x3
C  0.0000  0.0000  0.5000 x3
Se  0.0000  0.0000  0.4269 x6

=====

Which one sits at the top of the stability order? iii does.

=====

## i
The following is a meta-GGA SCAN calculation of a crystal of Tl3CSe relaxed with PBEsol, from Alexandria via LeMat-Bulk.

Lattice parameters (Å, degrees): 4.890 4.890 4.890 90.00 90.00 90.00
Space group Pm-3m (No. 221)
Unique sites:
Tl  0.000  0.000  0.500 x3
C  0.000  0.000  0.000 x1
Se  0.500  0.500  0.500 x1

=====

## ii
The following is a meta-GGA SCAN calculation of a crystal of Tl3CSe relaxed with PBEsol, from Alexandria via LeMat-Bulk.

Lattice parameters (Å, degrees): 6.016 6.016 6.016 90.00 90.00 90.00
Space group Pm-3m (No. 221)
Unique sites:
Tl  0.000  0.000  0.500 x3
C  0.500  0.500  0.500 x1
Se  0.000  0.000  0.000 x1

=====

Which one sits at the top of the stability order? i does.

=====

## i
The following is a meta-GGA SCAN calculation of a crystal of Si2C relaxed with PBEsol, from Alexandria via LeMat-Bulk.

Lattice parameters (Å, degrees): 2.886 16.399 2.755 90.00 90.00 90.00
Space group Cmcm (No. 63)
Unique sites:
Si  0.000  0.069  0.250 x4
Si  0.000  0.301  0.750 x4
C  0.000  0.387  0.250 x4

=====

## ii
The following is a meta-GGA SCAN calculation of a crystal of Si2C relaxed with PBEsol, from Alexandria via LeMat-Bulk.

Lattice parameters (Å, degrees): 4.1809 4.1809 4.3625 90.00 90.00 120.00
Space group P6_3/mmc (No. 194)
Unique sites:
Si  0.0000  0.0000  0.0000 x2
Si  0.3333  0.6667  0.2500 x2
C  0.3333  0.6667  0.7500 x2

=====

Which one sits at the top of the stability order? i does.